Entry 1:
! GeRuPt2 (PBE, optimized geometry); values from VASP
&SYSTEM
  ibrav = 0, nat = 4, ntyp = 3
/
ATOMIC_SPECIES
Ge 72.64 Ge.upf
Ru 101.07 Ru.upf
Pt 195.08 Pt.upf
CELL_PARAMETERS angstrom
4.5468 0.0000 0.0046
0.0000 2.9624 0.0000
-1.2381 0.0000 4.5103
ATOMIC_POSITIONS angstrom
Ge 0.6335 1.4812 2.1781
Ru 2.7125 0.0000 2.3147
Pt 0.2218 0.0000 4.2707
Pt 3.7296 1.4812 0.1603
! D(E_F) ... 3.8 states/eV/cell
! Final energy ... -6.639 eV/atom
! ΔE_f ... -0.15 eV/atom



Entry 2:
! Ge3RuPt (PBE, optimized geometry); values from VASP
&SYSTEM
  ibrav = 0, nat = 5, ntyp = 3
/
ATOMIC_SPECIES
Ru 101.07 Ru.upf
Ge 72.64 Ge.upf
Pt 195.08 Pt.upf
CELL_PARAMETERS angstrom
4.7449 0.0000 0.0000
0.0000 4.7449 0.0000
0.0000 0.0000 4.7449
ATOMIC_POSITIONS angstrom
Ru 0.0000 0.0000 0.0000
Ge 0.0000 2.3724 0.0000
Ge 0.0000 0.0000 2.3724
Ge 2.3724 0.0000 0.0000
Pt 2.3724 2.3724 2.3724
! E above lowest polymorph ... 0 meV/atom
! D(E_F) ... 0.3 states/eV/cell
! Final energy ... -5.473 eV/atom
! ΔE_f ... 0.36 eV/atom



Entry 3:
! GeRuPt2 (PBE, optimized geometry); values from VASP
&SYSTEM
  ibrav = 0, nat = 8, ntyp = 3
/
ATOMIC_SPECIES
Ge 72.64 Ge.upf
Ru 101.07 Ru.upf
Pt 195.08 Pt.upf
CELL_PARAMETERS angstrom
-5.5403 -6.9662 -2.4836
2.2637 -1.3790 -1.1819
0.8254 -2.0889 4.0179
ATOMIC_POSITIONS angstrom
Ge 0.6228 -1.5762 3.0317
Ge -1.4282 -4.7043 -0.8100
Ru 1.2927 -1.0966 0.1922
Ru -2.1966 -4.9347 1.5503
Pt -0.8594 -2.4994 1.2701
Pt -3.9318 -6.3625 -0.1072
Pt -2.0850 -7.7165 1.4463
Pt 0.3829 -4.6134 2.5526
! D(E_F) ... 6.5 states/eV/cell
! Final energy ... -6.640 eV/atom
! ΔE_f ... -0.15 eV/atom



Entry 4:
! GeRuPt2 (PBE, optimized geometry); values from VASP
&SYSTEM
  ibrav = 0, nat = 8, ntyp = 3
/
ATOMIC_SPECIES
Ge 72.64 Ge.upf
Ru 101.07 Ru.upf
Pt 195.08 Pt.upf
CELL_PARAMETERS angstrom
-4.0574 -2.3812 -0.0922
-0.3471 -2.4598 4.0157
-2.6757 4.4454 2.5225
ATOMIC_POSITIONS angstrom
Ge -3.5204 1.6409 5.5234
Ge -2.1940 -0.6656 4.1710
Ru -3.8298 -0.6531 2.3529
Ru -3.7574 -3.0758 3.6794
Pt -1.2415 -0.3564 1.4540
Pt -2.5550 1.8752 2.6145
Pt -5.0833 -0.9184 4.8874
Pt -5.1592 1.6202 3.6966
! D(E_F) ... 6.5 states/eV/cell
! Final energy ... -6.657 eV/atom
! ΔE_f ... -0.16 eV/atom



Entry 5:
! GeRuPt2 (PBE, optimized geometry); values from VASP
&SYSTEM
  ibrav = 0, nat = 8, ntyp = 3
/
ATOMIC_SPECIES
Ge 72.64 Ge.upf
Ru 101.07 Ru.upf
Pt 195.08 Pt.upf
CELL_PARAMETERS angstrom
4.1128 0.0000 0.0000
0.0000 5.4691 0.0000
0.0000 0.0000 5.3823
ATOMIC_POSITIONS angstrom
Ge 2.0564 1.2226 1.4270
Ge 2.0564 4.2466 4.1181
Ru 0.0000 0.3614 0.3291
Ru 0.0000 5.1077 3.0203
Pt 0.0000 2.3942 2.3262
Pt 0.0000 3.0749 5.0174
Pt 2.0564 4.1097 1.3619
Pt 2.0564 1.3594 4.0530
! D(E_F) ... 5.8 states/eV/cell
! Final energy ... -6.727 eV/atom
! ΔE_f ... -0.23 eV/atom



Entry 6:
! GeRuPt2 (PBE, optimized geometry); values from VASP
&SYSTEM
  ibrav = 0, nat = 16, ntyp = 3
/
ATOMIC_SPECIES
Ge 72.64 Ge.upf
Ru 101.07 Ru.upf
Pt 195.08 Pt.upf
CELL_PARAMETERS angstrom
-0.1507 -0.4641 4.6038
4.3888 -3.9132 -0.2508
6.0173 6.8451 -1.5037
ATOMIC_POSITIONS angstrom
Ge 5.3813 -0.5094 -0.6704
Ge 3.2373 1.4022 -0.5479
Ge 6.1956 4.8697 -1.2969
Ge 8.4404 2.8682 -1.4252
Ru 3.6196 3.8311 3.5627
Ru 2.8053 -1.5480 4.1892
Ru 4.9012 5.4145 1.2859
Ru 4.0870 0.0354 1.9123
Pt 3.6126 -2.6593 1.7893
Pt 1.4602 -0.7401 1.9123
Pt 4.4269 2.7199 1.1628
Pt 6.6633 0.7259 1.0350
Pt 1.9142 2.0160 2.0402
Pt 7.1172 3.4820 1.1630
Pt 0.5589 0.3506 4.3103
Pt 5.7620 1.8165 3.4331
! D(E_F) ... 14.9 states/eV/cell
! Final energy ... -6.647 eV/atom
! ΔE_f ... -0.15 eV/atom



Entry 7:
! Ge2RuPt (PBE, optimized geometry); values from VASP
&SYSTEM
  ibrav = 0, nat = 4, ntyp = 3
/
ATOMIC_SPECIES
Ru 101.07 Ru.upf
Ge 72.64 Ge.upf
Pt 195.08 Pt.upf
CELL_PARAMETERS angstrom
2.9529 0.0000 0.0000
1.4764 2.5573 0.0000
1.4764 0.8524 8.8448
ATOMIC_POSITIONS angstrom
Ru 0.0000 0.0000 0.0000
Ge 1.4764 0.8524 6.4599
Ge 4.4293 2.5573 2.3849
Pt 2.9529 1.7048 4.4224
! E above lowest polymorph ... 345 meV/atom
! D(E_F) ... 3.0 states/eV/cell
! Final energy ... -5.961 eV/atom
! ΔE_f ... 0.18 eV/atom



Entry 8:
! GeRuPt2 (PBE, optimized geometry); values from VASP
&SYSTEM
  ibrav = 0, nat = 16, ntyp = 3
/
ATOMIC_SPECIES
Ge 72.64 Ge.upf
Ru 101.07 Ru.upf
Pt 195.08 Pt.upf
CELL_PARAMETERS angstrom
3.9914 0.0000 0.0000
0.0000 8.6425 0.0000
0.0000 0.0000 7.0077
ATOMIC_POSITIONS angstrom
Ge 0.9978 5.8581 6.9477
Ge 2.9935 2.7844 6.9477
Ge 0.9978 1.5368 3.4438
Ge 2.9935 7.1056 3.4438
Ru 0.9978 3.3590 5.4801
Ru 2.9935 5.2835 5.4801
Ru 0.9978 7.6802 1.9763
Ru 2.9935 0.9622 1.9763
Pt 0.9978 7.6394 4.9753
Pt 2.9935 1.0031 4.9753
Pt 0.9978 3.3181 1.4715
Pt 2.9935 5.3243 1.4715
Pt 0.9978 0.9587 0.0304
Pt 2.9935 7.6837 0.0304
Pt 0.9978 5.2799 3.5342
Pt 2.9935 3.3625 3.5342
! D(E_F) ... 11.3 states/eV/cell
! Final energy ... -6.656 eV/atom
! ΔE_f ... -0.16 eV/atom



Entry 9:
! Ge2RuPt (PBE, optimized geometry); values from VASP
&SYSTEM
  ibrav = 0, nat = 4, ntyp = 3
/
ATOMIC_SPECIES
Ge 72.64 Ge.upf
Ru 101.07 Ru.upf
Pt 195.08 Pt.upf
CELL_PARAMETERS angstrom
-2.5746 1.2355 1.1362
-2.6819 -1.4652 -0.3270
-0.5762 -3.7040 6.8789
ATOMIC_POSITIONS angstrom
Ge -0.8844 -2.7533 5.1467
Ge -1.4468 -1.0183 1.9857
Ru -2.9219 -1.9497 3.8129
Pt -3.4959 -0.1792 0.5869
! E above lowest polymorph ... 0 meV/atom
! D(E_F) ... 3.2 states/eV/cell
! Final energy ... -6.306 eV/atom
! ΔE_f ... -0.17 eV/atom



Entry 10:
! GeRuPt2 (PBE, optimized geometry); values from VASP
&SYSTEM
  ibrav = 0, nat = 8, ntyp = 3
/
ATOMIC_SPECIES
Ge 72.64 Ge.upf
Ru 101.07 Ru.upf
Pt 195.08 Pt.upf
CELL_PARAMETERS angstrom
-2.4247 -4.4660 1.8421
-0.5992 -1.2801 -3.8923
4.8366 -2.4291 0.0543
ATOMIC_POSITIONS angstrom
Ge -1.8162 -4.0596 1.6148
Ge 1.8807 -3.3045 0.7973
Ru 0.7016 -5.4816 1.6948
Ru 2.0560 -5.2113 -0.8053
Pt 3.8192 -3.2841 -1.7107
Pt -0.6181 -4.5490 -0.6115
Pt 1.1613 -2.5850 -1.5314
Pt -0.5051 -2.0143 0.7402
! D(E_F) ... 6.8 states/eV/cell
! Final energy ... -6.666 eV/atom
! ΔE_f ... -0.17 eV/atom



Entry 11:
! GeRu2Pt (PBE, optimized geometry); values from VASP
&SYSTEM
  ibrav = 0, nat = 8, ntyp = 3
/
ATOMIC_SPECIES
Ru 101.07 Ru.upf
Ge 72.64 Ge.upf
Pt 195.08 Pt.upf
CELL_PARAMETERS angstrom
-3.7471 4.0135 -0.0025
-2.9096 -2.7189 -3.7803
-6.2130 -2.0432 2.2639
ATOMIC_POSITIONS angstrom
Ru -4.2408 1.6384 0.0919
Ru -3.8582 -1.6891 -1.7971
Ru -7.1700 -1.0600 0.2611
Ru -10.4703 -0.3865 -1.5939
Ge -3.3284 0.6473 -1.8914
Ge -6.2255 -2.0574 -1.7039
Pt 0.0000 0.0000 0.0000
Pt -6.6442 1.3088 0.1850
! D(E_F) ... 10.9 states/eV/cell
! Final energy ... -6.444 eV/atom
! ΔE_f ... 0.86 eV/atom



Entry 12:
! Sm2Ge4RuPt3 (PBE, optimized geometry); values from VASP
&SYSTEM
  ibrav = 0, nat = 10, ntyp = 4
/
ATOMIC_SPECIES
Sm 150.36 Sm.upf
Ge 72.64 Ge.upf
Ru 101.07 Ru.upf
Pt 195.08 Pt.upf
CELL_PARAMETERS angstrom
-3.1320 -1.4926 2.4587
2.7144 -0.3319 3.2564
-2.3293 9.7177 2.9320
ATOMIC_POSITIONS angstrom
Sm -2.1441 1.6654 1.9570
Sm -0.3940 7.1401 3.8325
Ge -0.2088 -0.9122 2.8575
Ge 0.0000 0.0000 0.0000
Ge -3.0312 5.3664 3.0736
Ge 0.4931 3.4391 2.7159
Ru -1.3735 3.9467 4.3235
Pt -1.1647 4.8589 1.4660
Pt -3.5828 7.6674 3.7679
Pt 1.0446 1.1381 2.0216
! D(E_F) ... 3.3 states/eV/cell
! Final energy ... -6.409 eV/atom
! ΔE_f ... -0.88 eV/atom



Repeat the seventh record exactly.
! Ge2RuPt (PBE, optimized geometry); values from VASP
&SYSTEM
  ibrav = 0, nat = 4, ntyp = 3
/
ATOMIC_SPECIES
Ru 101.07 Ru.upf
Ge 72.64 Ge.upf
Pt 195.08 Pt.upf
CELL_PARAMETERS angstrom
2.9529 0.0000 0.0000
1.4764 2.5573 0.0000
1.4764 0.8524 8.8448
ATOMIC_POSITIONS angstrom
Ru 0.0000 0.0000 0.0000
Ge 1.4764 0.8524 6.4599
Ge 4.4293 2.5573 2.3849
Pt 2.9529 1.7048 4.4224
! E above lowest polymorph ... 345 meV/atom
! D(E_F) ... 3.0 states/eV/cell
! Final energy ... -5.961 eV/atom
! ΔE_f ... 0.18 eV/atom



- What is the final energy in the eleventh record?
  -6.444 eV/atom



- The highest final energy belongs to which entry?
  Ge3RuPt